Record 1
VASP calculation (PBE-GGA) on an optimized crystal structure of AlCd2Ga.

Cell and atoms, written as POSCAR:
```
AlCd2Ga
1.0
0.000 3.493 3.493
3.493 0.000 3.493
3.493 3.493 0.000
Al Cd Ga
1 2 1
Cartesian
0.000 0.000 0.000
1.746 1.746 1.746
5.239 5.239 5.239
3.493 3.493 3.493
```

Values from the calculation:
energy of formation from the pure elements = 0.170 eV/atom
space group = Fm-3m (225)
crystal system = cubic



Record 2
VASP calculation (PBE-GGA) on an optimized crystal structure of AlCdGa.

Cell and atoms, written as POSCAR:
```
AlCdGa
1.0
2.927 0.000 0.000
-1.278 5.886 0.000
-0.373 -2.050 6.914
Al Cd Ga
2 2 2
Cartesian
0.000 0.000 0.000
-0.195 2.209 5.068
0.069 3.450 1.161
1.428 0.880 2.523
1.178 -0.065 5.635
1.346 4.173 3.733
```

Values from the calculation:
energy of formation from the pure elements = 0.072 eV/atom
space group = P1 (1)
crystal system = triclinic



Record 3
VASP calculation (PBE-GGA) on an optimized crystal structure of AlCdGa.

Cell and atoms, written as POSCAR:
```
AlCdGa
1.0
-1.466 1.466 6.890
1.466 -1.466 6.890
1.466 1.466 -6.890
Al Cd Ga
1 1 1
Cartesian
0.000 0.000 0.000
0.000 0.000 4.554
0.000 0.000 9.014
```

Values from the calculation:
energy of formation from the pure elements = 0.095 eV/atom
space group = I4mm (107)
crystal system = tetragonal



Record 4
VASP calculation (PBE-GGA) on an optimized crystal structure of Al3CdGa.

Cell and atoms, written as POSCAR:
```
Al3CdGa
1.0
5.089 0.000 0.000
0.000 5.089 0.000
0.000 0.000 5.089
Al Cd Ga
3 1 1
Cartesian
0.000 0.000 2.545
0.000 2.545 0.000
2.545 0.000 0.000
0.000 0.000 0.000
2.545 2.545 2.545
```

Values from the calculation:
energy of formation from the pure elements = 0.769 eV/atom
space group = Pm-3m (221)
crystal system = cubic



Record 5
VASP calculation (PBE-GGA) on an optimized crystal structure of AlCd2Ga2.

Cell and atoms, written as POSCAR:
```
AlCd2Ga2
1.0
7.885 0.000 0.000
0.000 7.885 0.000
0.000 0.000 3.485
Al Cd Ga
2 4 4
Cartesian
0.000 0.000 0.000
3.943 3.943 0.000
1.062 2.880 0.000
2.880 6.823 0.000
5.005 1.062 0.000
6.823 5.005 0.000
1.329 5.271 1.743
2.614 1.329 1.743
5.271 6.557 1.743
6.557 2.614 1.743
```

Values from the calculation:
energy of formation from the pure elements = 0.217 eV/atom
space group = P4/mbm (127)
crystal system = tetragonal



Record 6
VASP calculation (PBE-GGA) on an optimized crystal structure of Al2CdGa.

Cell and atoms, written as POSCAR:
```
Al2CdGa
1.0
4.270 0.000 0.000
0.000 4.270 0.000
0.000 0.000 4.188
Al Cd Ga
2 1 1
Cartesian
0.000 2.135 0.000
2.135 0.000 0.000
0.000 0.000 2.094
2.135 2.135 2.094
```

Values from the calculation:
energy of formation from the pure elements = 0.135 eV/atom
space group = P4/mmm (123)
crystal system = tetragonal



Record 7
VASP calculation (PBE-GGA) on an optimized crystal structure of AlCdGa2.

Cell and atoms, written as POSCAR:
```
AlCdGa2
1.0
2.956 0.000 0.000
-1.478 2.560 0.000
0.000 0.000 10.209
Al Cd Ga
1 1 2
Cartesian
0.000 0.000 0.000
0.000 0.000 5.104
0.000 1.707 2.352
1.478 0.853 7.857
```

Values from the calculation:
energy of formation from the pure elements = 0.038 eV/atom
space group = P-3m1 (164)
crystal system = trigonal



Record 8
VASP calculation (PBE-GGA) on an optimized crystal structure of AlCdGa.

Cell and atoms, written as POSCAR:
```
AlCdGa
1.0
3.023 0.000 0.000
-0.002 4.928 0.000
-0.010 -1.976 7.948
Al Cd Ga
2 2 2
Cartesian
0.000 0.000 0.000
1.502 0.384 7.859
-0.003 1.469 2.833
1.495 -1.086 5.027
1.508 3.941 2.145
3.009 1.368 5.715
```

Values from the calculation:
energy of formation from the pure elements = 0.075 eV/atom
space group = P1 (1)
crystal system = triclinic



Record 9
VASP calculation (PBE-GGA) on an optimized crystal structure of AlCdGa.

Cell and atoms, written as POSCAR:
```
AlCdGa
1.0
2.965 0.000 0.000
-1.482 2.567 0.000
0.000 0.000 7.669
Al Cd Ga
1 1 1
Cartesian
0.000 0.000 0.000
0.000 1.712 5.036
1.482 0.856 2.322
```

Values from the calculation:
energy of formation from the pure elements = 0.061 eV/atom
space group = P3m1 (156)
crystal system = trigonal



Record 10
VASP calculation (PBE-GGA) on an optimized crystal structure of AlCdGa.

Cell and atoms, written as POSCAR:
```
AlCdGa
1.0
2.907 0.000 0.000
0.066 5.771 0.000
1.436 2.529 7.250
Al Cd Ga
2 2 2
Cartesian
0.000 0.000 0.000
1.508 3.462 0.660
1.495 5.007 5.594
2.943 4.693 2.988
2.886 2.042 4.848
2.960 1.680 2.161
```

Values from the calculation:
energy of formation from the pure elements = 0.089 eV/atom
space group = P1 (1)
crystal system = triclinic



Record 11
VASP calculation (PBE-GGA) on an optimized crystal structure of AlCd2Ga.

Cell and atoms, written as POSCAR:
```
AlCd2Ga
1.0
-2.072 2.072 10.126
2.072 -2.072 10.126
2.072 2.072 -10.126
Al Cd Ga
2 4 2
Cartesian
0.000 0.000 0.000
0.000 2.072 5.063
3.108 1.030 -2.531
1.030 1.036 2.531
-1.036 1.042 7.594
1.042 1.036 12.657
2.072 0.000 5.063
0.000 0.000 10.126
```

Values from the calculation:
energy of formation from the pure elements = 0.163 eV/atom
space group = I-42d (122)
crystal system = tetragonal



Record 12
VASP calculation (PBE-GGA) on an optimized crystal structure of AlCdGa2.

Cell and atoms, written as POSCAR:
```
AlCdGa2
1.0
4.273 0.000 0.000
0.000 4.273 0.000
0.000 0.000 4.288
Al Cd Ga
1 1 2
Cartesian
0.000 0.000 0.000
2.137 2.137 0.000
0.000 2.137 2.144
2.137 0.000 2.144
```

Values from the calculation:
energy of formation from the pure elements = 0.097 eV/atom
space group = P4/mmm (123)
crystal system = tetragonal



Record 13
VASP calculation (PBE-GGA) on an optimized crystal structure of Al2CdGa2.

Cell and atoms, written as POSCAR:
```
Al2CdGa2
1.0
-2.104 2.104 5.619
2.104 -2.104 5.619
2.104 2.104 -5.619
Al Cd Ga
2 1 2
Cartesian
2.104 0.000 2.810
0.000 2.104 2.810
0.000 0.000 0.000
0.000 0.000 4.398
0.000 0.000 6.841
```

Values from the calculation:
energy of formation from the pure elements = 0.070 eV/atom
space group = I4/mmm (139)
crystal system = tetragonal



Record 14
VASP calculation (PBE-GGA) on an optimized crystal structure of Al2Cd2Ga.

Cell and atoms, written as POSCAR:
```
Al2Cd2Ga
1.0
-2.098 2.098 6.295
2.098 -2.098 6.295
2.098 2.098 -6.295
Al Cd Ga
2 2 1
Cartesian
0.000 0.000 1.256
0.000 0.000 11.335
2.098 0.000 3.148
0.000 2.098 3.148
0.000 0.000 6.295
```

Values from the calculation:
energy of formation from the pure elements = 0.228 eV/atom
space group = I4/mmm (139)
crystal system = tetragonal